Entry 1:
VASP calculation (PBE) on a relaxed structure of TaNiAs.

abc: 3.0562 3.0562 9.5418
angles: 90.00 90.00 90.00
Space group I4mm (No. 107)
Asymmetric unit:
Ta 0.0000 0.0000 0.0000 x2
Ni 0.0000 0.0000 0.3279 x2
As 0.0000 0.0000 0.6933 x2

M_tot   0.00 μB per cell
Calculated volume   89 Å³/cell
DFT formation energy   -0.090 eV per atom


Entry 2:
VASP calculation (PBE) on a relaxed structure of Ta2NiAs.

abc: 3.6769 4.4119 7.7040
angles: 90.00 90.00 90.00
Space group Immm (No. 71)
Asymmetric unit:
Ta 0.0000 0.0000 0.2480 x4
Ni 0.0000 0.5000 0.0000 x2
As 0.0000 0.5000 0.5000 x2

M_tot   0.00 μB per cell
Calculated volume   125 Å³/cell
DFT formation energy   -0.154 eV per atom


Entry 3:
VASP calculation (PBE) on a relaxed structure of TaNiAs.

abc: 2.9054 2.9054 6.3225
angles: 90.00 90.00 120.00
Space group P3m1 (No. 156)
Asymmetric unit:
Ta 0.0000 0.0000 0.0000 x1
Ni 0.6667 0.3333 0.6700 x1
As 0.3333 0.6667 0.3613 x1

M_tot   0.00 μB per cell
Calculated volume   46 Å³/cell
DFT formation energy   0.023 eV per atom